1.
This record from Alexandria via LeMat-Bulk describes a geometry-optimized CdTeP structure. The functional is GGA-PBE.

a = 3.628 Å, b = 3.628 Å, c = 11.343 Å
α = 90.00°, β = 90.00°, γ = 90.00°
Space group I4mm (No. 107)
One atom of each set of equivalent atoms:
Cd1 0.000 0.000 0.000 (multiplicity 2)
Te1 0.000 0.000 0.716 (multiplicity 2)
P1 0.000 0.000 0.307 (multiplicity 2)

Values from the calculation:
For the uncorrected formation energy, the calculation gives 0.38 eV per atom. The calculation puts the polymorph energy (0 for the lowest one) at 74 kJ/mol of formula units. The volume is 149.3 Å³/cell. Its total moment is 0.0000 μB per atom.


2.
This record from Alexandria via LeMat-Bulk describes a geometry-optimized CdTe2P structure. The functional is GGA-PBE.

a = 4.001 Å, b = 4.377 Å, c = 12.278 Å
α = 90.00°, β = 90.00°, γ = 90.00°
Space group Immm (No. 71)
One atom of each set of equivalent atoms:
Cd1 0.000 0.000 0.000 (multiplicity 2)
Te1 0.000 0.500 0.170 (multiplicity 4)
P1 0.000 0.000 0.500 (multiplicity 2)

Values from the calculation:
For the uncorrected formation energy, the calculation gives 0.20 eV per atom. The calculation puts the polymorph energy (0 for the lowest one) at 71 kJ/mol of formula units. The volume is 215.0 Å³/cell. Its total moment is 0.0000 μB per atom.